{"formula": "AlAgAsO", "functional": "PBE", "state": "optimized geometry", "sg": "No. 26", "e_above_lowest_polymorph_ev_per_atom": 0.000, "crystal_system": "orthorhombic", "lattice_angstrom": [[-2.649, -0.157, 3.109], [5.003, -1.403, 4.192], [0.728, 5.240, 0.885]], "species": ["O", "O", "Ag", "Ag", "Al", "Al", "As", "As"], "frac_coords": [[0.500, 0.575, 0.844], [0.500, 0.425, 0.344], [0.000, 0.225, 0.449], [0.000, 0.775, 0.949], [0.500, 0.644, 0.527], [0.500, 0.356, 0.027], [0.000, 0.157, 0.933], [0.000, 0.843, 0.433]]}